Computed, not measured: an optimized crystal structure of FeRe5 at the GGA-PBEsol level of DFT.

Computed properties:
ΔE_f in eV/atom: 0.072
SG: Cmmm
Energy relative to the lowest polymorph listed for this composition in eV per atom: 0.049

Lattice parameters (Å, degrees): 6.0336 6.0336 3.8280 90.00 90.00 143.07
Atoms (fractional coordinates):
Fe (0.0000, 0.0000, 0.0000)
Re (0.1618, 0.8382, 0.5000)
Re (0.3382, 0.6618, 0.0000)
Re (0.5000, 0.5000, 0.5000)
Re (0.6618, 0.3382, 0.0000)
Re (0.8382, 0.1618, 0.5000)